# 1
Material: VMo4W4
Method: DFT, PBE
State: optimized geometry

The formation energy is -0.064 eV/atom. For the energy, the calculation gives -104.83 eV for the cell shown. For the total moment, the calculation gives 0.000 μB per formula unit. Its excess energy over the best structure of this formula in the dataset is 0 meV per atom.

a = 4.474 Å, b = 7.064 Å, c = 5.230 Å
α = 82.18°, β = 64.67°, γ = 71.54°
Fractional positions:
V (0.500, 0.500, 0.000)
Mo (0.499, 0.169, 0.332)
Mo (0.501, 0.831, 0.668)
Mo (0.168, 0.831, 0.333)
Mo (0.832, 0.169, 0.667)
W (0.166, 0.168, 0.000)
W (0.834, 0.832, 0.000)
W (0.834, 0.500, 0.332)
W (0.166, 0.500, 0.668)

---

# 2
Material: AcTbRu2
Method: DFT, PBE
State: optimized geometry

The formation energy is -0.063 eV/atom. For the energy, the calculation gives -27.54 eV for the cell shown. For the total moment, the calculation gives 0.000 μB per formula unit. Its excess energy over the best structure of this formula in the dataset is 0 meV per atom.

a = 5.011 Å, b = 5.011 Å, c = 5.011 Å
α = 60.00°, β = 60.00°, γ = 60.00°
Fractional positions:
Ru (0.250, 0.250, 0.250)
Ru (0.750, 0.750, 0.750)
Ac (0.500, 0.500, 0.500)
Tb (0.000, 0.000, 0.000)

---

# 3
Material: LaCeZr2
Method: DFT, PBE
State: optimized geometry

The formation energy is 0.185 eV/atom. For the energy, the calculation gives -27.22 eV for the cell shown. For the total moment, the calculation gives 0.000 μB per formula unit. Its excess energy over the best structure of this formula in the dataset is 9 meV per atom.

a = 5.041 Å, b = 4.621 Å, c = 4.621 Å
α = 90.00°, β = 90.00°, γ = 90.00°
Fractional positions:
Zr (0.000, 0.000, 0.500)
Zr (0.000, 0.500, 0.000)
Ce (0.500, 0.000, 0.000)
La (0.500, 0.500, 0.500)

---

# 4
Material: Ac2HgAs3Rh4
Method: DFT, PBE
State: optimized geometry

The formation energy is -0.767 eV/atom. For the energy, the calculation gives -59.54 eV for the cell shown. For the total moment, the calculation gives 0.000 μB per formula unit.

a = 4.269 Å, b = 4.269 Å, c = 11.190 Å
α = 90.00°, β = 90.00°, γ = 90.00°
Fractional positions:
Ac (0.500, 0.000, 0.252)
Ac (0.000, 0.500, 0.748)
Hg (0.500, 0.500, 0.500)
As (0.000, 0.000, 0.500)
As (0.500, 0.000, 0.877)
As (0.000, 0.500, 0.123)
Rh (0.500, 0.500, 0.000)
Rh (0.000, 0.000, 0.000)
Rh (0.500, 0.000, 0.661)
Rh (0.000, 0.500, 0.339)

---

# 5
Material: Rb2AsO4
Method: DFT, PBE
State: optimized geometry

For the raw formation energy, the calculation gives -1.314 eV/atom. For the energy, the calculation gives -142.45 eV for the cell shown. For the total moment, the calculation gives 1.016 μB per formula unit. Its excess energy over the best structure of this formula in the dataset is 76 meV per atom.

a = 10.350 Å, b = 8.998 Å, c = 8.998 Å
α = 89.31°, β = 90.00°, γ = 90.00°
Site moments in Bohr magnetons follow the coordinates.
Fractional positions:
Rb (0.500, 0.262, 0.262)  0.00
Rb (0.000, 0.229, 0.771)  0.00
Rb (0.000, 0.771, 0.229)  0.00
Rb (0.500, 0.738, 0.738)  0.00
Rb (0.500, 0.729, 0.271)  0.00
Rb (0.000, 0.762, 0.762)  0.00
Rb (0.500, 0.271, 0.729)  0.00
Rb (0.000, 0.238, 0.238)  0.00
As (0.250, 0.000, 0.500)  -0.03
As (0.750, 0.000, 0.500)  -0.03
As (0.750, 0.500, 0.000)  -0.03
As (0.250, 0.500, 0.000)  -0.03
O (0.344, 0.158, 0.499)  0.21
O (0.656, 0.158, 0.499)  0.21
O (0.156, 0.001, 0.342)  0.21
O (0.844, 0.999, 0.658)  0.21
O (0.844, 0.001, 0.342)  0.21
O (0.156, 0.999, 0.658)  0.21
O (0.656, 0.842, 0.501)  0.21
O (0.344, 0.842, 0.501)  0.21
O (0.156, 0.658, 0.999)  0.21
O (0.844, 0.658, 0.999)  0.21
O (0.344, 0.501, 0.842)  0.21
O (0.656, 0.499, 0.158)  0.21
O (0.656, 0.501, 0.842)  0.21
O (0.344, 0.499, 0.158)  0.21
O (0.844, 0.342, 0.001)  0.21
O (0.156, 0.342, 0.001)  0.21

---

# 6
Material: Ca5Eu3Cl12
Method: DFT, PBE
State: optimized geometry

For the raw formation energy, the calculation gives -1.921 eV/atom. For the energy, the calculation gives -405.67 eV for the cell shown. For the total moment, the calculation gives 23.912 μB per formula unit.

a = 14.820 Å, b = 14.820 Å, c = 14.820 Å
α = 109.47°, β = 109.47°, γ = 109.47°
Site moments in Bohr magnetons follow the coordinates.
Fractional positions:
Eu (0.750, 0.375, 0.125)  6.98
Eu (0.875, 0.750, 0.125)  6.98
Eu (0.375, 0.750, 0.625)  6.98
Eu (0.250, 0.125, 0.375)  6.98
Eu (0.875, 0.125, 0.250)  6.98
Eu (0.375, 0.625, 0.250)  6.98
Eu (0.625, 0.375, 0.750)  6.98
Eu (0.125, 0.875, 0.750)  6.98
Eu (0.750, 0.875, 0.625)  6.98
Eu (0.625, 0.250, 0.375)  6.98
Eu (0.125, 0.250, 0.875)  6.98
Eu (0.250, 0.625, 0.875)  6.98
Ca (0.125, 0.375, 0.250)  0.10
Ca (0.000, 0.500, 0.000)  0.04
Ca (0.000, 0.000, 0.000)  0.04
Ca (0.375, 0.250, 0.125)  0.10
Ca (0.500, 0.000, 0.500)  0.04
Ca (0.500, 0.500, 0.000)  0.04
Ca (0.125, 0.750, 0.375)  0.10
Ca (0.750, 0.125, 0.875)  0.10
Ca (0.750, 0.625, 0.375)  0.10
Ca (0.375, 0.125, 0.750)  0.10
Ca (0.625, 0.875, 0.250)  0.10
Ca (0.500, 0.500, 0.500)  0.04
Ca (0.500, 0.000, 0.000)  0.04
Ca (0.000, 0.000, 0.500)  0.04
Ca (0.250, 0.375, 0.625)  0.10
Ca (0.250, 0.875, 0.125)  0.10
Ca (0.000, 0.500, 0.500)  0.04
Ca (0.875, 0.250, 0.625)  0.10
Ca (0.625, 0.750, 0.875)  0.10
Ca (0.875, 0.625, 0.750)  0.10
Cl (0.710, 0.144, 0.045)  0.00
Cl (0.335, 0.545, 0.401)  0.00
Cl (0.955, 0.356, 0.290)  0.00
Cl (0.545, 0.210, 0.144)  0.00
Cl (0.566, 0.710, 0.665)  0.00
Cl (0.955, 0.599, 0.165)  0.00
Cl (0.335, 0.790, 0.434)  0.00
Cl (0.099, 0.934, 0.144)  0.00
Cl (0.599, 0.955, 0.665)  0.00
Cl (0.710, 0.566, 0.165)  0.00
Cl (0.790, 0.455, 0.356)  0.00
Cl (0.835, 0.901, 0.045)  0.00
Cl (0.144, 0.710, 0.545)  0.00
Cl (0.356, 0.401, 0.066)  0.00
Cl (0.066, 0.901, 0.356)  0.00
Cl (0.434, 0.144, 0.599)  0.00
Cl (0.066, 0.165, 0.210)  0.00
Cl (0.455, 0.665, 0.099)  0.00
Cl (0.835, 0.934, 0.290)  0.00
Cl (0.144, 0.434, 0.099)  0.00
Cl (0.356, 0.955, 0.790)  0.00
Cl (0.599, 0.644, 0.434)  0.00
Cl (0.901, 0.835, 0.545)  0.00
Cl (0.790, 0.335, 0.934)  0.00
Cl (0.401, 0.356, 0.566)  0.00
Cl (0.099, 0.165, 0.455)  0.00
Cl (0.210, 0.665, 0.066)  0.00
Cl (0.165, 0.066, 0.710)  0.00
Cl (0.644, 0.045, 0.210)  0.00
Cl (0.856, 0.566, 0.901)  0.00
Cl (0.545, 0.335, 0.901)  0.00
Cl (0.566, 0.856, 0.401)  0.00
Cl (0.934, 0.835, 0.790)  0.00
Cl (0.934, 0.099, 0.644)  0.00
Cl (0.856, 0.290, 0.455)  0.00
Cl (0.165, 0.099, 0.955)  0.00
Cl (0.644, 0.599, 0.934)  0.00
Cl (0.401, 0.045, 0.335)  0.00
Cl (0.290, 0.434, 0.835)  0.00
Cl (0.210, 0.545, 0.644)  0.00
Cl (0.901, 0.066, 0.856)  0.00
Cl (0.665, 0.210, 0.566)  0.00
Cl (0.455, 0.790, 0.856)  0.00
Cl (0.045, 0.401, 0.835)  0.00
Cl (0.434, 0.290, 0.335)  0.00
Cl (0.045, 0.644, 0.710)  0.00
Cl (0.665, 0.455, 0.599)  0.00
Cl (0.290, 0.856, 0.955)  0.00

---

# 7
Material: ZnTc3N
Method: DFT, PBE
State: optimized geometry

For the raw formation energy, the calculation gives 0.071 eV/atom. For the energy, the calculation gives -80.68 eV for the cell shown. For the total moment, the calculation gives 0.000 μB per formula unit. Its excess energy over the best structure of this formula in the dataset is 48 meV per atom.

a = 5.519 Å, b = 4.841 Å, c = 5.260 Å
α = 90.00°, β = 108.47°, γ = 90.00°
Fractional positions:
Zn (0.840, 0.072, 0.888)
Zn (0.340, 0.895, 0.888)
Tc (0.434, 0.402, 0.685)
Tc (0.044, 0.572, 0.173)
Tc (0.544, 0.394, 0.173)
Tc (0.982, 0.074, 0.429)
Tc (0.934, 0.565, 0.685)
Tc (0.482, 0.892, 0.429)
N (0.768, 0.728, 0.317)
N (0.268, 0.238, 0.317)

---

# 8
Material: AgHg5
Method: DFT, PBE
State: optimized geometry

The formation energy is 0.086 eV/atom. For the energy, the calculation gives -3.85 eV for the cell shown. For the total moment, the calculation gives 0.000 μB per formula unit. Its excess energy over the best structure of this formula in the dataset is 14 meV per atom.

a = 8.005 Å, b = 8.005 Å, c = 5.593 Å
α = 90.00°, β = 90.00°, γ = 156.22°
Fractional positions:
Ag (0.994, 0.006, 0.000)
Hg (0.228, 0.772, 0.500)
Hg (0.335, 0.665, 0.000)
Hg (0.558, 0.442, 0.500)
Hg (0.656, 0.344, 0.000)
Hg (0.896, 0.104, 0.500)